(1)
Entry from Alexandria via LeMat-Bulk: La2Pm4SmTm after structural relaxation (PBE).

Properties
Calculated total energy: -75.79 eV/cell
Theoretical density: 7.076 Mg/m³
Fermi-level density of states: 12.49 states/eV/f.u.
SG: P-1
ΔE_f: 0.2 eV per formula unit

```
16
Lattice="-3.3993 -3.6204 -11.6449 6.4945 -3.2026 -0.8943 -6.4367 0.5230 10.8834" Properties=species:S:1:pos:R:3 pbc="T T T"
La -1.6997 -1.8102 -5.8224
La -4.9180 -1.5487 -0.3808
La -3.2183 0.2615 5.4417
La 1.5476 -3.4115 -6.2696
Pm 4.0502 -3.3229 -3.5344
Pm -4.1257 -3.2943 -3.4732
Pm 0.7842 -3.0058 1.8174
Pm -7.3918 -2.9773 1.8784
Pm -4.0926 -4.6029 1.4242
Pm -0.9300 -4.8685 -3.9147
Pm -2.4115 -1.4316 2.2589
Pm 0.7511 -1.6972 -3.0800
Sm 3.2472 -1.6013 -0.4471
Sm -3.3704 -4.9602 -6.6504
Tm -1.6707 -3.1501 -0.8279
Tm -9.8360 -3.0975 -0.7615
```

---

(2)
Entry from Alexandria via LeMat-Bulk: RbY3Se after structural relaxation (PBE).

Properties
E_form (uncorrected): -0.13 eV per atom
Calculated total energy: -24.51 eV/cell
Theoretical density: 3.962 Mg/m³
Fermi-level density of states: 7.72 states/eV/f.u.
SG: Pm-3m
Relative energy among the computed polymorphs: 0.000 eV/atom

```
5
Lattice="-4.0436 3.8490 0.8917 -3.4345 -4.0550 1.9291 1.9530 0.8380 5.2387" Properties=species:S:1:pos:R:3 pbc="T T T"
Y -1.7172 -2.0275 0.9645
Y 0.9765 0.4190 2.6193
Y -2.0218 1.9245 0.4459
Se 0.0000 0.0000 0.0000
Rb -2.7625 0.3160 4.0297
```

---

(3)
Entry from Alexandria via LeMat-Bulk: SrYP3 after structural relaxation (PBE).

Properties
Calculated total energy: -21.33 eV/cell
Theoretical density: 3.183 Mg/m³
Fermi-level density of states: 5.98 states/eV/f.u.
SG: Pm-3m
Relative energy among the computed polymorphs: 0.857 eV/atom
ΔE_f: 3.0 eV per formula unit

```
5
Lattice="5.1997 0.0000 0.0000 0.0000 5.1997 0.0000 0.0000 0.0000 5.1997" Properties=species:S:1:pos:R:3 pbc="T T T"
Y 2.5999 2.5999 2.5999
Sr 0.0000 0.0000 0.0000
P 0.0000 2.5999 0.0000
P 0.0000 0.0000 2.5999
P 2.5999 0.0000 0.0000
```

---

(4)
Entry from Alexandria via LeMat-Bulk: InTc2 after structural relaxation (PBE).

Properties
Calculated total energy: -43.00 eV/cell
Theoretical density: 9.018 Mg/m³
Fermi-level density of states: 2.98 states/eV/f.u.
SG: I4_1/amd
ΔE_f: 2.0 eV per formula unit

```
6
Lattice="5.1427 -0.5124 6.4330 3.9318 4.6930 5.5327 -6.6558 -2.2930 -4.3054" Properties=species:S:1:pos:R:3 pbc="T T T"
In 0.0000 0.0000 0.0000
In 1.5121 -0.3575 4.0552
Tc 5.2626 2.4245 6.9392
Tc 0.1813 1.9110 2.6487
Tc 3.8119 1.7562 5.0264
Tc 1.6319 2.5793 4.5615
```

---

(5)
Entry from Alexandria via LeMat-Bulk: Pu4Si3H4 after structural relaxation (PBE).

Properties
Calculated total energy: -91.15 eV/cell
Theoretical density: 10.193 Mg/m³
Fermi-level density of states: 34.46 states/eV/f.u.
SG: Amm2

```
11
Lattice="-0.6307 -3.9330 -0.2072 4.2013 1.1469 3.8330 -5.4484 0.5682 5.8019" Properties=species:S:1:pos:R:3 pbc="T T T"
Pu -2.9525 -1.8473 5.6635
Pu -0.2037 -2.1340 2.7364
Pu 0.6192 -2.4541 6.3088
Pu 0.0000 0.0000 0.0000
Si 1.7671 -0.5165 4.4265
Si -0.9839 -0.2297 7.3560
Si 2.2123 -0.4666 2.1232
H -2.3610 -1.8255 3.4486
H 0.4181 -2.1212 0.6003
H -3.2755 0.2655 4.9316
H -0.7469 0.0019 2.2389
```

---

(6)
Entry from Alexandria via LeMat-Bulk: Ho2ErTm3 after structural relaxation (PBE).

Properties
Calculated total energy: -53.96 eV/cell
Theoretical density: 9.204 Mg/m³
Fermi-level density of states: 8.61 states/eV/f.u.
SG: P-1
Relative energy among the computed polymorphs: 0.027 eV/atom
ΔE_f: 0.2 eV per formula unit

```
12
Lattice="-5.0051 -2.0025 -2.7435 1.4189 -6.4990 2.1551 -5.1997 4.6541 6.0792" Properties=species:S:1:pos:R:3 pbc="T T T"
Ho -3.8826 -3.1366 1.5928
Ho -1.0254 -3.7606 3.5031
Ho -7.7606 -0.0868 1.9877
Ho -4.9033 -0.7108 3.8980
Er -8.7763 2.3398 4.2908
Er -0.0096 -6.1872 1.1999
Tm -5.9191 1.7166 6.2013
Tm -2.8668 -5.5640 -0.7105
Tm -1.7331 -0.5103 2.4249
Tm -4.1955 -3.9596 4.9763
Tm -4.5904 0.1122 0.5145
Tm -7.0528 -3.3371 3.0659
```

---

(7)
Entry from Alexandria via LeMat-Bulk: Y2TmAg after structural relaxation (PBE).

Properties
Calculated total energy: -19.36 eV/cell
Theoretical density: 6.467 Mg/m³
Fermi-level density of states: 6.42 states/eV/f.u.
SG: R-3m
Relative energy among the computed polymorphs: 0.352 eV/atom
ΔE_f: 0.9 eV per formula unit

```
4
Lattice="3.4099 0.0000 0.0000 1.7049 2.9530 0.0000 1.7049 0.9843 11.5932" Properties=species:S:1:pos:R:3 pbc="T T T"
Y 1.7049 0.9843 8.2364
Y 5.1148 2.9530 3.3569
Tm 0.0000 0.0000 0.0000
Ag 3.4099 1.9687 5.7966
```

---

(8)
Entry from Alexandria via LeMat-Bulk: GeB3Ru after structural relaxation (PBE).

Properties
Calculated total energy: -23.01 eV/cell
Theoretical density: 5.666 Mg/m³
Fermi-level density of states: 4.59 states/eV/f.u.
SG: Pm-3m
Relative energy among the computed polymorphs: 1.005 eV/atom
ΔE_f: 10.9 eV per formula unit

```
5
Lattice="-2.7244 1.5061 -2.3888 1.6552 -1.8377 -3.0464 -2.2880 -3.1228 0.6407" Properties=species:S:1:pos:R:3 pbc="T T T"
Ru -1.6786 -1.7272 -2.3972
Ge 0.0000 0.0000 0.0000
B 0.8276 -0.9188 -1.5232
B -1.1440 -1.5614 0.3203
B -1.3622 0.7530 -1.1944
```

---

Q: Number 5 is which compound?
A: Pu4Si3H4

---

Copy entry 8 word for word.
Entry from Alexandria via LeMat-Bulk: GeB3Ru after structural relaxation (PBE).

Properties
Calculated total energy: -23.01 eV/cell
Theoretical density: 5.666 Mg/m³
Fermi-level density of states: 4.59 states/eV/f.u.
SG: Pm-3m
Relative energy among the computed polymorphs: 1.005 eV/atom
ΔE_f: 10.9 eV per formula unit

```
5
Lattice="-2.7244 1.5061 -2.3888 1.6552 -1.8377 -3.0464 -2.2880 -3.1228 0.6407" Properties=species:S:1:pos:R:3 pbc="T T T"
Ru -1.6786 -1.7272 -2.3972
Ge 0.0000 0.0000 0.0000
B 0.8276 -0.9188 -1.5232
B -1.1440 -1.5614 0.3203
B -1.3622 0.7530 -1.1944
```